Entry A
# CsNi2AuO PBE with a Hubbard U relaxed
# Fermi-level density of states: 0.75 states/eV/cell
data_CsNi2AuO
_cell_length_a 4.2787
_cell_length_b 4.2787
_cell_length_c 5.6531
_cell_angle_alpha 90.00
_cell_angle_beta 90.00
_cell_angle_gamma 90.00
_space_group_name_H-M_alt 'P 4/m m m'
_space_group_IT_number 123
_space_group_name_Hall '-P 4 2'
loop_
_atom_site_label
_atom_site_fract_x
_atom_site_fract_y
_atom_site_fract_z
_atom_site_occupancy
Cs1 0.0000 0.0000 0.0000 1
Ni1 0.0000 0.5000 0.5000 1
Au1 0.5000 0.5000 0.0000 1
O1 0.0000 0.0000 0.5000 1


Entry B
# CsNi2AuO PBE with a Hubbard U relaxed
# Fermi-level density of states: 2.01 states/eV/cell
data_CsNi2AuO
_cell_length_a 5.0291
_cell_length_b 5.0291
_cell_length_c 4.4908
_cell_angle_alpha 90.00
_cell_angle_beta 90.00
_cell_angle_gamma 90.00
_space_group_name_H-M_alt 'P 4/m m m'
_space_group_IT_number 123
_space_group_name_Hall '-P 4 2'
loop_
_atom_site_label
_atom_site_fract_x
_atom_site_fract_y
_atom_site_fract_z
_atom_site_occupancy
Cs1 0.0000 0.0000 0.0000 1
Ni1 0.0000 0.5000 0.5000 1
Au1 0.5000 0.5000 0.5000 1
O1 0.5000 0.5000 0.0000 1


Computed energies relative to the best structure, in meV/atom: entry A 0; entry B 283